(1)
Density functional theory data (PBE) for a relaxed Tb8Pm2Zn crystal.

The structure in CIF format:
```
data_Tb8Pm2Zn
_chemical_formula_sum 'Tb8 Pm2 Zn1'
_cell_length_a 9.9502
_cell_length_b 9.9502
_cell_length_c 6.4676
_cell_angle_alpha 93.34
_cell_angle_beta 93.34
_cell_angle_gamma 32.30
_symmetry_space_group_name_H-M 'P 1'
_symmetry_Int_Tables_number 1
loop_
_symmetry_equiv_pos_as_xyz
'x,y,z'
loop_
_atom_site_label
_atom_site_type_symbol
_atom_site_fract_x
_atom_site_fract_y
_atom_site_fract_z
Tb1 Tb 0.0404 0.0404 0.2524
Tb2 Tb 0.1553 0.1553 0.8134
Tb3 Tb 0.3460 0.3460 0.8797
Tb4 Tb 0.4224 0.4224 0.3915
Tb5 Tb 0.5776 0.5776 0.6085
Tb6 Tb 0.6540 0.6540 0.1203
Tb7 Tb 0.8447 0.8447 0.1866
Tb8 Tb 0.9596 0.9596 0.7476
Pm1 Pm 0.2396 0.2396 0.3308
Pm2 Pm 0.7604 0.7604 0.6692
Zn1 Zn 0.5000 0.5000 0.0000
```

Computed properties:
- SG = C2/m, No. 12
- calculated formation energy (eV per atom) = -0.01

=====

(2)
Density functional theory data (PBE) for a relaxed AlTeSe2 crystal.

The structure in CIF format:
```
data_AlTeSe2
_chemical_formula_sum 'Al1 Te1 Se2'
_cell_length_a 3.3927
_cell_length_b 3.3927
_cell_length_c 8.4295
_cell_angle_alpha 90.00
_cell_angle_beta 90.00
_cell_angle_gamma 90.00
_symmetry_space_group_name_H-M 'P 1'
_symmetry_Int_Tables_number 1
loop_
_symmetry_equiv_pos_as_xyz
'x,y,z'
loop_
_atom_site_label
_atom_site_type_symbol
_atom_site_fract_x
_atom_site_fract_y
_atom_site_fract_z
Al1 Al 0.0000 0.0000 0.0000
Te1 Te 0.5000 0.5000 0.7232
Se1 Se 0.0000 0.0000 0.5127
Se2 Se 0.5000 0.5000 0.1211
```

Computed properties:
- formation energy from raw total energies (eV/atom) = 0.06
- SG = P4mm, No. 99

=====

(3)
Density functional theory data (PBE) for a relaxed BaHgIr2 crystal.

The structure in CIF format:
```
data_BaHgIr2
_chemical_formula_sum 'Ba1 Hg1 Ir2'
_cell_length_a 3.5544
_cell_length_b 3.5544
_cell_length_c 7.1074
_cell_angle_alpha 90.00
_cell_angle_beta 90.00
_cell_angle_gamma 90.00
_symmetry_space_group_name_H-M 'P 1'
_symmetry_Int_Tables_number 1
loop_
_symmetry_equiv_pos_as_xyz
'x,y,z'
loop_
_atom_site_label
_atom_site_type_symbol
_atom_site_fract_x
_atom_site_fract_y
_atom_site_fract_z
Ba1 Ba 0.0000 0.0000 0.0000
Hg1 Hg 0.0000 0.0000 0.5000
Ir1 Ir 0.5000 0.5000 0.3101
Ir2 Ir 0.5000 0.5000 0.6899
```

Computed properties:
- SG = P4/mmm, No. 123
- calculated formation energy (eV per atom) = 0.62

=====

(4)
Density functional theory data (PBE) for a relaxed BaN crystal.

The structure in CIF format:
```
data_BaN
_chemical_formula_sum 'Ba2 N2'
_cell_length_a 4.1105
_cell_length_b 4.1105
_cell_length_c 6.6232
_cell_angle_alpha 90.00
_cell_angle_beta 90.00
_cell_angle_gamma 90.00
_symmetry_space_group_name_H-M 'P 1'
_symmetry_Int_Tables_number 1
loop_
_symmetry_equiv_pos_as_xyz
'x,y,z'
loop_
_atom_site_label
_atom_site_type_symbol
_atom_site_fract_x
_atom_site_fract_y
_atom_site_fract_z
Ba1 Ba 0.0000 0.0000 0.0000
Ba2 Ba 0.5000 0.5000 0.5000
N1 N 0.0000 0.0000 0.4042
N2 N 0.0000 0.0000 0.5958
```

Computed properties:
- formation energy from raw total energies (eV/atom) = -0.41
- SG = P4/mmm, No. 123

=====

(5)
Density functional theory data (PBE) for a relaxed Ti6SbRh crystal.

The structure in CIF format:
```
data_Ti6SbRh
_chemical_formula_sum 'Ti6 Sb1 Rh1'
_cell_length_a 4.8189
_cell_length_b 4.8189
_cell_length_c 7.7580
_cell_angle_alpha 109.88
_cell_angle_beta 109.88
_cell_angle_gamma 70.43
_symmetry_space_group_name_H-M 'P 1'
_symmetry_Int_Tables_number 1
loop_
_symmetry_equiv_pos_as_xyz
'x,y,z'
loop_
_atom_site_label
_atom_site_type_symbol
_atom_site_fract_x
_atom_site_fract_y
_atom_site_fract_z
Ti1 Ti 0.0786 0.5869 0.2138
Ti2 Ti 0.1661 0.1661 0.4705
Ti3 Ti 0.4131 0.9214 0.7862
Ti4 Ti 0.5869 0.0786 0.2138
Ti5 Ti 0.8339 0.8339 0.5295
Ti6 Ti 0.9214 0.4131 0.7862
Sb1 Sb 0.0000 0.0000 0.0000
Rh1 Rh 0.5000 0.5000 0.5000
```

Computed properties:
- formation energy from raw total energies (eV/atom) = -0.05
- SG = C2/m, No. 12

=====

(6)
Density functional theory data (PBE) for a relaxed CuReSe2 crystal.

The structure in CIF format:
```
data_CuReSe2
_chemical_formula_sum 'Cu1 Re1 Se2'
_cell_length_a 3.1090
_cell_length_b 3.3363
_cell_length_c 8.1534
_cell_angle_alpha 90.00
_cell_angle_beta 100.73
_cell_angle_gamma 90.00
_symmetry_space_group_name_H-M 'P 1'
_symmetry_Int_Tables_number 1
loop_
_symmetry_equiv_pos_as_xyz
'x,y,z'
loop_
_atom_site_label
_atom_site_type_symbol
_atom_site_fract_x
_atom_site_fract_y
_atom_site_fract_z
Cu1 Cu 0.0000 0.0000 0.0000
Re1 Re 0.5862 0.5000 0.1774
Se1 Se 0.4333 0.5000 0.8649
Se2 Se 0.6944 0.0000 0.4001
```

Computed properties:
- formation energy from raw total energies (eV/atom) = 0.18
- SG = Pm, No. 6

=====

(7)
Density functional theory data (PBE) for a relaxed UTlHSe2O8 crystal.

The structure in CIF format:
```
data_UTlHSe2O8
_chemical_formula_sum 'U4 Tl4 H4 Se8 O32'
_cell_length_a 8.6418
_cell_length_b 10.3115
_cell_length_c 12.9893
_cell_angle_alpha 90.00
_cell_angle_beta 127.79
_cell_angle_gamma 90.00
_symmetry_space_group_name_H-M 'P 1'
_symmetry_Int_Tables_number 1
loop_
_symmetry_equiv_pos_as_xyz
'x,y,z'
loop_
_atom_site_label
_atom_site_type_symbol
_atom_site_fract_x
_atom_site_fract_y
_atom_site_fract_z
U1 U 0.1873 0.2065 0.3074
U2 U 0.1873 0.2935 0.8074
U3 U 0.8127 0.7065 0.1926
U4 U 0.8127 0.7935 0.6926
Tl1 Tl 0.2754 0.5424 0.5488
Tl2 Tl 0.2754 0.9576 0.0488
Tl3 Tl 0.7246 0.0424 0.9512
Tl4 Tl 0.7246 0.4576 0.4512
H1 H 0.4031 0.6487 0.1679
H2 H 0.4031 0.8513 0.6679
H3 H 0.5969 0.1487 0.3321
H4 H 0.5969 0.3513 0.8321
Se1 Se 0.1838 0.5297 0.1820
Se2 Se 0.1838 0.9703 0.6820
Se3 Se 0.2950 0.6267 0.9106
Se4 Se 0.2950 0.8733 0.4106
Se5 Se 0.7050 0.1267 0.5894
Se6 Se 0.7050 0.3733 0.0894
Se7 Se 0.8162 0.0297 0.3180
Se8 Se 0.8162 0.4703 0.8180
O1 O 0.0755 0.6788 0.8735
O2 O 0.0755 0.8212 0.3735
O3 O 0.1160 0.6031 0.2666
O4 O 0.1160 0.8969 0.7666
O5 O 0.1820 0.1001 0.1920
O6 O 0.1820 0.3999 0.6920
O7 O 0.1847 0.1977 0.9246
O8 O 0.1847 0.3023 0.4246
O9 O 0.2875 0.0333 0.4498
O10 O 0.2875 0.4667 0.9498
O11 O 0.3168 0.1015 0.7773
O12 O 0.3168 0.3985 0.2773
O13 O 0.3878 0.6357 0.2384
O14 O 0.3878 0.8643 0.7384
O15 O 0.4553 0.6944 0.0648
O16 O 0.4553 0.8056 0.5648
O17 O 0.5447 0.1944 0.4352
O18 O 0.5447 0.3056 0.9352
O19 O 0.6122 0.1357 0.2616
O20 O 0.6122 0.3643 0.7616
O21 O 0.6832 0.6015 0.7227
O22 O 0.6832 0.8985 0.2227
O23 O 0.7125 0.5333 0.0502
O24 O 0.7125 0.9667 0.5502
O25 O 0.8153 0.6977 0.5754
O26 O 0.8153 0.8023 0.0754
O27 O 0.8180 0.6001 0.3080
O28 O 0.8180 0.8999 0.8080
O29 O 0.8840 0.1031 0.2334
O30 O 0.8840 0.3969 0.7334
O31 O 0.9245 0.1788 0.6265
O32 O 0.9245 0.3212 0.1265
```

Computed properties:
- energy (eV per atom) = -6.46
- SG = P2_1/c, No. 14

=====

(8)
Density functional theory data (PBE) for a relaxed Tm7Pb4N crystal.

The structure in CIF format:
```
data_Tm7Pb4N
_chemical_formula_sum 'Tm7 Pb4 N1'
_cell_length_a 8.4955
_cell_length_b 8.4955
_cell_length_c 11.0979
_cell_angle_alpha 126.79
_cell_angle_beta 126.79
_cell_angle_gamma 33.79
_symmetry_space_group_name_H-M 'P 1'
_symmetry_Int_Tables_number 1
loop_
_symmetry_equiv_pos_as_xyz
'x,y,z'
loop_
_atom_site_label
_atom_site_type_symbol
_atom_site_fract_x
_atom_site_fract_y
_atom_site_fract_z
Tm1 Tm 0.0000 0.0000 0.0000
Tm2 Tm 0.1354 0.1354 0.5461
Tm3 Tm 0.2801 0.2801 0.1395
Tm4 Tm 0.4368 0.4368 0.7617
Tm5 Tm 0.5632 0.5632 0.2383
Tm6 Tm 0.7199 0.7199 0.8605
Tm7 Tm 0.8646 0.8646 0.4539
Pb1 Pb 0.0812 0.0812 0.7858
Pb2 Pb 0.2215 0.2215 0.3469
Pb3 Pb 0.7785 0.7785 0.6531
Pb4 Pb 0.9188 0.9188 0.2142
N1 N 0.5000 0.5000 0.0000
```

Computed properties:
- formation energy from raw total energies (eV/atom) = -0.41
- SG = C2/m, No. 12

=====

(9)
Density functional theory data (PBE) for a relaxed BaLiPmHg crystal.

The structure in CIF format:
```
data_BaLiPmHg
_chemical_formula_sum 'Ba1 Li1 Pm1 Hg1'
_cell_length_a 5.6687
_cell_length_b 5.6687
_cell_length_c 5.6687
_cell_angle_alpha 60.00
_cell_angle_beta 60.00
_cell_angle_gamma 60.00
_symmetry_space_group_name_H-M 'P 1'
_symmetry_Int_Tables_number 1
loop_
_symmetry_equiv_pos_as_xyz
'x,y,z'
loop_
_atom_site_label
_atom_site_type_symbol
_atom_site_fract_x
_atom_site_fract_y
_atom_site_fract_z
Ba1 Ba 0.0000 0.0000 0.0000
Li1 Li 0.7500 0.7500 0.7500
Pm1 Pm 0.5000 0.5000 0.5000
Hg1 Hg 0.2500 0.2500 0.2500
```

Computed properties:
- SG = F-43m, No. 216
- calculated formation energy (eV per atom) = -0.11